Record 1
The following is a SCAN calculation of Li4Co3O2F6 at its PBEsol-relaxed geometry, from Alexandria via LeMat-Bulk.

VASP energy ... -8.6798 eV per atom
Size of the total moment ... 9.00 μB/f.u.
Volume ... 139 Å³/f.u.
SG ... P-1, No. 2
ΔE_f (raw) ... -2.33 eV per atom

Cell: 4.9385 5.2284 5.7405 Å, 72.73 89.25 80.03°
With the nearest neighbours (Å) after each atom.
Fractional positions:
Li: 0.2412 0.4762 0.1329  4 F 1.98-2.04, 2 O 2.00-2.13
Li: 0.2594 0.5048 0.6330  4 F 1.96-1.99, 1 O 2.01
Li: 0.7406 0.4952 0.3670  4 F 1.96-1.99, 1 O 2.01
Li: 0.7588 0.5238 0.8671  4 F 1.98-2.04, 2 O 2.00-2.13
Co: 0.0012 0.0040 0.7813  2 O 1.97, 4 F 2.09-2.15
Co: 0.5000 0.0000 0.0000  2 O 1.97, 4 F 2.13-2.16
Co: 0.9988 0.9960 0.2187  2 O 1.97, 4 F 2.09-2.15
O: 0.1409 0.2470 0.9360  3 Co 1.97, 3 Li 2.00-2.13
O: 0.8591 0.7530 0.0640  3 Co 1.97, 3 Li 2.00-2.13
F: 0.0984 0.2405 0.4367  2 Li 1.99-2.01, 2 Co 2.10-2.15
F: 0.3666 0.7089 0.3112  3 Li 1.96-1.98, 2 Co 2.11-2.16
F: 0.3725 0.7302 0.8273  3 Li 1.99-2.04, 2 Co 2.09-2.13
F: 0.6275 0.2698 0.1727  3 Li 1.99-2.04, 2 Co 2.09-2.13
F: 0.6334 0.2911 0.6888  3 Li 1.96-1.98, 2 Co 2.11-2.16
F: 0.9016 0.7595 0.5633  2 Li 1.99-2.01, 2 Co 2.10-2.15

Record 2
The following is a SCAN calculation of CrNiCl2 at its PBEsol-relaxed geometry, from Alexandria via LeMat-Bulk.

VASP energy ... -12.8954 eV per atom
Size of the total moment ... 4.00 μB/f.u.
Volume ... 69 Å³/f.u.
SG ... Cmmm, No. 65
ΔE_f (raw) ... -0.27 eV per atom

Cell: 3.4806 3.4806 6.5799 Å, 90.00 90.00 120.64°
With the nearest neighbours (Å) after each atom.
Fractional positions:
Cr: 0.0000 0.0000 0.0000  4 Cl 2.45
Ni: 0.0000 0.0000 0.5000  4 Cl 2.32
Cl: 0.5000 0.5000 0.2645  2 Ni 2.32, 2 Cr 2.45
Cl: 0.5000 0.5000 0.7355  2 Ni 2.32, 2 Cr 2.45

Record 3
The following is a SCAN calculation of Ag3BO3 at its PBEsol-relaxed geometry, from Alexandria via LeMat-Bulk.

VASP energy ... -18.2119 eV per atom
Size of the total moment ... 0.00 μB/f.u.
Volume ... 92 Å³/f.u.
SG ... R-3c, No. 167
ΔE_f (raw) ... -1.04 eV per atom

Cell: 7.1728 7.1728 7.1728 Å, 87.72 87.72 87.72°
With the nearest neighbours (Å) after each atom.
Fractional positions:
Ag: 0.1110 0.6253 0.1298  2 O 2.11
Ag: 0.1253 0.6110 0.6298  2 O 2.11
Ag: 0.1298 0.1110 0.6253  2 O 2.11
Ag: 0.3702 0.8747 0.3890  2 O 2.11
Ag: 0.3747 0.8702 0.8890  2 O 2.11
Ag: 0.3890 0.3702 0.8747  2 O 2.11
Ag: 0.6110 0.6298 0.1253  2 O 2.11
Ag: 0.6253 0.1298 0.1110  2 O 2.11
Ag: 0.6298 0.1253 0.6110  2 O 2.11
Ag: 0.8702 0.8890 0.3747  2 O 2.11
Ag: 0.8747 0.3890 0.3702  2 O 2.11
Ag: 0.8890 0.3747 0.8702  2 O 2.11
B: 0.1258 0.1258 0.1258  3 O 1.38
B: 0.3742 0.3742 0.3742  3 O 1.38
B: 0.6258 0.6258 0.6258  3 O 1.38
B: 0.8742 0.8742 0.8742  3 O 1.38
O: 0.0199 0.8625 0.7427  1 B 1.38
O: 0.1375 0.2573 0.9801  1 B 1.38
O: 0.2427 0.3625 0.5199  1 B 1.38
O: 0.2573 0.9801 0.1375  1 B 1.38
O: 0.3625 0.5199 0.2427  1 B 1.38
O: 0.4801 0.7573 0.6375  1 B 1.38
O: 0.5199 0.2427 0.3625  1 B 1.38
O: 0.6375 0.4801 0.7573  1 B 1.38
O: 0.7427 0.0199 0.8625  1 B 1.38
O: 0.7573 0.6375 0.4801  1 B 1.38
O: 0.8625 0.7427 0.0199  1 B 1.38
O: 0.9801 0.1375 0.2573  1 B 1.38

Record 4
The following is a SCAN calculation of Na2PtC2 at its PBEsol-relaxed geometry, from Alexandria via LeMat-Bulk.

VASP energy ... -19.5719 eV per atom
Size of the total moment ... 0.00 μB/f.u.
Volume ... 60 Å³/f.u.
Energy relative to the elements ... 0.193 eV per atom
SG ... P4/mbm, No. 127

Cell: 5.2621 5.2621 4.3195 Å, 90.00 90.00 90.00°
With the nearest neighbours (Å) after each atom.
Fractional positions:
Na: 0.1896 0.3104 0.0000  6 C 2.67-2.70, 5 Na 2.71-2.82, 4 Pt 2.89
Na: 0.3104 0.8104 0.0000  6 C 2.67-2.70, 5 Na 2.71-2.82, 4 Pt 2.89
Na: 0.6896 0.1896 0.0000  6 C 2.67-2.70, 5 Na 2.71-2.82, 4 Pt 2.89
Na: 0.8104 0.6896 0.0000  6 C 2.67-2.70, 5 Na 2.71-2.82, 4 Pt 2.89
Pt: 0.0000 0.0000 0.5000  4 C 2.19
Pt: 0.5000 0.5000 0.5000  4 C 2.19
C: 0.0935 0.5935 0.5000  1 C 1.39
C: 0.4065 0.0935 0.5000  1 C 1.39
C: 0.5935 0.9065 0.5000  1 C 1.39
C: 0.9065 0.4065 0.5000  1 C 1.39

Record 5
The following is a SCAN calculation of Al2CoIr at its PBEsol-relaxed geometry, from Alexandria via LeMat-Bulk.

VASP energy ... -25.9852 eV per atom
Size of the total moment ... 0.86 μB/f.u.
Volume ... 56 Å³/f.u.
Energy relative to the elements ... -0.008 eV per atom
SG ... I-42d, No. 122

Cell: 5.3031 5.3031 5.3031 Å, 104.84 104.84 119.19°
With the nearest neighbours (Å) after each atom.
Fractional positions:
Al: 0.1078 0.6250 0.9828  2 Co 2.31, 2 Ir 2.46
Al: 0.3750 0.3578 0.4828  2 Co 2.31, 2 Ir 2.46
Al: 0.6422 0.1250 0.0172  2 Co 2.31, 2 Ir 2.46
Al: 0.8750 0.8922 0.5172  2 Co 2.31, 2 Ir 2.46
Co: 0.0000 0.0000 0.0000  4 Al 2.31
Co: 0.7500 0.2500 0.5000  4 Al 2.31
Ir: 0.2500 0.7500 0.5000  4 Al 2.46, 2 Co 2.68
Ir: 0.5000 0.5000 0.0000  4 Al 2.46, 2 Co 2.68

Record 6
The following is a SCAN calculation of GeBr2F10 at its PBEsol-relaxed geometry, from Alexandria via LeMat-Bulk.

VASP energy ... -8.7044 eV per atom
Size of the total moment ... 0.00 μB/f.u.
Volume ... 203 Å³/f.u.
SG ... P2_1/c, No. 14
ΔE_f (raw) ... -1.52 eV per atom

Cell: 4.9212 14.2407 6.3882 Å, 90.00 114.63 90.00°
With the nearest neighbours (Å) after each atom.
Fractional positions:
Ge: 0.0000 0.0000 0.0000  6 F 1.75-1.86
Ge: 0.0000 0.5000 0.5000  6 F 1.75-1.86
Br: 0.3289 0.1337 0.6733  2 F 1.77
Br: 0.3289 0.3663 0.1733  2 F 1.77
Br: 0.6711 0.6337 0.8267  2 F 1.77
Br: 0.6711 0.8663 0.3267  2 F 1.77
F: 0.0074 0.6698 0.0561  1 Br 1.77
F: 0.0074 0.8302 0.5561  1 Br 1.77
F: 0.0531 0.0292 0.7349  1 Ge 1.86
F: 0.0531 0.4708 0.2349  1 Ge 1.86
F: 0.2483 0.6041 0.5474  1 Ge 1.86
F: 0.2483 0.8959 0.0474  1 Ge 1.86
F: 0.3074 0.0692 0.1677  1 Ge 1.75
F: 0.3074 0.4308 0.6677  1 Ge 1.75
F: 0.4680 0.7206 0.9002  1 Br 1.77
F: 0.4680 0.7794 0.4002  1 Br 1.77
F: 0.5320 0.2206 0.5998  1 Br 1.77
F: 0.5320 0.2794 0.0998  1 Br 1.77
F: 0.6926 0.5692 0.3323  1 Ge 1.75
F: 0.6926 0.9308 0.8323  1 Ge 1.75
F: 0.7517 0.1041 0.9526  1 Ge 1.86
F: 0.7517 0.3959 0.4526  1 Ge 1.86
F: 0.9469 0.5292 0.7651  1 Ge 1.86
F: 0.9469 0.9708 0.2651  1 Ge 1.86
F: 0.9926 0.1698 0.4439  1 Br 1.77
F: 0.9926 0.3302 0.9439  1 Br 1.77